Entry 1:
The following is a PBE calculation of ScSb2Au2 after structural relaxation, from the Alexandria database.

Results
As for the density of states at the Fermi level: 7.06 states/eV per cell. The calculation puts the formation energy (no corrections) at -1.47 eV/f.u. For the total DFT energy (no corrections), the calculation gives -4.52 eV/atom. For the offset from the most stable computed form, the calculation gives 0 meV/atom.

Unit cell a=7.5258 b=7.5258 c=3.9997 alpha=90.00 beta=90.00 gamma=90.00
Element x y z (fractional)
Sc  0.0000  0.0000  0.0000
Sc  0.5000  0.5000  0.0000
Sb  0.1812  0.3188  0.5000
Sb  0.3188  0.8188  0.5000
Sb  0.6812  0.1812  0.5000
Sb  0.8188  0.6812  0.5000
Au  0.1293  0.6293  0.0000
Au  0.3707  0.1293  0.0000
Au  0.6293  0.8707  0.0000
Au  0.8707  0.3707  0.0000


Entry 2:
The following is a PBE calculation of NaSrCd after structural relaxation, from the Alexandria database.

Results
As for the density of states at the Fermi level: 2.40 states/eV per cell. For the total DFT energy (no corrections), the calculation gives -1.36 eV/atom. For the offset from the most stable computed form, the calculation gives 134 meV/atom.

Unit cell a=5.5288 b=5.5288 c=5.5288 alpha=60.00 beta=60.00 gamma=60.00
Element x y z (fractional)
Na  0.0000  0.0000  0.0000
Sr  0.5000  0.5000  0.5000
Cd  0.7500  0.7500  0.7500


Entry 3:
The following is a PBE calculation of Ba2CoRh after structural relaxation, from the Alexandria database.

Results
As for the density of states at the Fermi level: 5.67 states/eV per cell. For the total DFT energy (no corrections), the calculation gives -4.28 eV/atom. For the offset from the most stable computed form, the calculation gives 313 meV/atom.

Unit cell a=3.5963 b=3.5963 c=9.2144 alpha=90.00 beta=90.00 gamma=90.00
Element x y z (fractional)
Ba  0.0000  0.0000  0.0000
Ba  0.5000  0.5000  0.4393
Co  0.0000  0.0000  0.6893
Rh  0.5000  0.5000  0.7525